This record from Alexandria describes a geometry-optimized ScNbAg structure. The functional is PBE.

Unit cell a=3.483 b=3.483 c=9.619 alpha=90.00 beta=90.00 gamma=90.00
Atoms (fractional coordinates):
1 Sc 0.250 0.250 0.243
2 Sc 0.750 0.750 0.757
3 Nb 0.250 0.250 0.568
4 Nb 0.750 0.750 0.432
5 Ag 0.250 0.250 0.919
6 Ag 0.750 0.750 0.081

Results
- Density of states at the Fermi level: 0.876 states/eV per atom
- Formation energy from the elements: -3.09 kcal/mol of atoms